A plane-wave DFT calculation with SCAN was carried out for a PBEsol-optimized structure of Al3BiO.

crystal system: cubic
raw formation energy: -1.06 eV per formula unit
magnetic moment: 0.0 μB per cell
symmetry: No. 221
mass density: 5732 kg/m3
Fermi-level density of states: 2.5 states/eV/cell

Cell: 4.458 4.458 4.458 Å, 90.00 90.00 90.00°
Sites, in units of the cell vectors:
Al 0.000 0.500 0.000
Al 0.500 0.000 0.000
Al 0.000 0.000 0.500
Bi 0.500 0.500 0.500
O 0.000 0.000 0.000

A plane-wave DFT calculation with SCAN was carried out for a PBEsol-optimized structure of Nd6Ni2Sn.

ΔH_f (0 K): -0.3541 eV/atom
crystal system: orthorhombic
magnetic moment: 0.0 μB per cell
symmetry: No. 71
mass density: 7633 kg/m3
Fermi-level density of states: 15.9 states/eV/cell

Cell: 8.558 8.558 8.558 Å, 74.36 71.74 114.65°
Sites, in units of the cell vectors:
Ni 0.634 0.000 0.366
Ni 0.500 0.382 0.118
Ni 0.500 0.618 0.882
Ni 0.366 0.000 0.634
Nd 0.204 0.229 0.567
Nd 0.522 0.707 0.186
Nd 0.307 0.629 0.678
Nd 0.693 0.015 0.678
Nd 0.893 0.707 0.814
Nd 0.107 0.293 0.186
Nd 0.307 0.985 0.322
Nd 0.796 0.229 0.975
Nd 0.796 0.771 0.433
Nd 0.693 0.371 0.322
Nd 0.204 0.771 0.025
Nd 0.478 0.293 0.814
Sn 0.000 0.500 0.500
Sn 0.000 0.000 0.000

A plane-wave DFT calculation with SCAN was carried out for a PBEsol-optimized structure of SrYP2.

ΔH_f (0 K): -0.1069 eV/atom
relative energy among the computed polymorphs: 345.6 kJ/mol of formula units
crystal system: cubic
magnetic moment: 0.0 μB per cell
symmetry: No. 216
mass density: 4740 kg/m3
Fermi-level density of states: 2.8 states/eV/cell

Cell: 4.907 4.907 4.907 Å, 60.00 60.00 60.00°
Sites, in units of the cell vectors:
P 0.750 0.750 0.750
P 0.000 0.000 0.000
Y 0.250 0.250 0.250
Sr 0.500 0.500 0.500

A plane-wave DFT calculation with SCAN was carried out for a PBEsol-optimized structure of AlCdNi.

ΔH_f (0 K): -0.2306 eV/atom
crystal system: tetragonal
magnetic moment: 0.0 μB per cell
symmetry: No. 107
mass density: 7409 kg/m3
Fermi-level density of states: 0.9 states/eV/cell

Cell: 2.980 2.980 5.424 Å, 105.95 105.95 90.00°
Sites, in units of the cell vectors:
Ni 0.354 0.354 0.707
Cd 0.677 0.677 0.354
Al 0.969 0.969 0.939